The following is a GGA-PBEsol calculation of crystalline HgMoBr2 at its relaxed geometry, from Alexandria.

Unit cell a=10.4967 b=3.1898 c=7.0497 alpha=90.00 beta=114.26 gamma=90.00
Space group Cm (No. 8)
Inequivalent atoms, fractional coordinates:
Hg 0.0000 0.0000 0.0000 x2
Mo 0.2325 0.5000 0.0000 x2
Br 0.1791 0.0000 0.6919 x2
Br 0.3492 0.0000 0.3080 x2

## Properties
raw total energy	-31.899	eV per cell
raw formation energy	0.031	eV per atom
calculated volume	215.2	Å³ per cell
total moment	3.3	μB/cell
polymorph energy (0 for the lowest one)	0.38	eV per formula unit

***

The following is a GGA-PBEsol calculation of crystalline ZrAlPt at its relaxed geometry, from Alexandria.

Unit cell a=7.0479 b=7.0479 c=7.2676 alpha=90.00 beta=90.00 gamma=120.00
Space group P-62c (No. 190)
Inequivalent atoms, fractional coordinates:
Zr 0.0187 0.4131 0.2500 x6
Al 0.0000 0.7422 0.0000 x6
Pt 0.0000 0.0000 0.2500 x2
Pt 0.3333 0.6667 0.5261 x4

## Properties
raw total energy	-139.939	eV per cell
calculated volume	312.6	Å³ per cell
total moment	0.0	μB/cell
ΔE_f	-1.059	eV per atom

***

The following is a GGA-PBEsol calculation of crystalline Y2SbIr at its relaxed geometry, from Alexandria.

Unit cell a=4.1696 b=4.1696 c=10.1248 alpha=90.00 beta=90.00 gamma=90.00
Space group I-4m2 (No. 119)
Inequivalent atoms, fractional coordinates:
Y 0.0000 0.0000 0.0000 x2
Y 0.0000 0.5000 0.2500 x2
Sb 0.0000 0.5000 0.7500 x2
Ir 0.0000 0.0000 0.5000 x2

## Properties
raw total energy	-61.549	eV per cell
raw formation energy	-0.687	eV per atom
calculated volume	176.0	Å³ per cell
total moment	0.0	μB/cell

***

The following is a GGA-PBEsol calculation of crystalline LiAgRh2 at its relaxed geometry, from Alexandria.

Unit cell a=5.2196 b=9.2129 c=2.6558 alpha=90.00 beta=117.93 gamma=90.00
Space group C2/m (No. 12)
Inequivalent atoms, fractional coordinates:
Li 0.0000 0.0000 0.0000 x2
Ag 0.0000 0.5000 0.0000 x2
Rh 0.2500 0.2500 0.5000 x4

## Properties
raw total energy	-42.566	eV per cell
calculated volume	112.8	Å³ per cell
total moment	0.0	μB/cell
polymorph energy (0 for the lowest one)	0.00	eV per formula unit
ΔE_f	0.068	eV per atom

***

The following is a GGA-PBEsol calculation of crystalline KCaF2 at its relaxed geometry, from Alexandria.

Unit cell a=5.9209 b=5.9209 c=11.4613 alpha=90.00 beta=90.00 gamma=90.00
Space group I-42d (No. 122)
Inequivalent atoms, fractional coordinates:
K 0.0000 0.0000 0.0000 x4
Ca 0.0000 0.0000 0.5000 x4
F 0.1387 0.2500 0.6250 x8

## Properties
raw total energy	-71.423	eV per cell
raw formation energy	-2.684	eV per atom
calculated volume	401.8	Å³ per cell
total moment	0.0	μB/cell

***

The following is a GGA-PBEsol calculation of crystalline Mn2CoSi at its relaxed geometry, from Alexandria.

Unit cell a=2.8495 b=3.8652 c=3.8802 alpha=90.00 beta=90.00 gamma=90.00
Space group Pmmm (No. 47)
Inequivalent atoms, fractional coordinates:
Mn 0.0000 0.0000 0.0000 x1
Mn 0.5000 0.0000 0.5000 x1
Co 0.0000 0.5000 0.5000 x1
Si 0.5000 0.5000 0.0000 x1

## Properties
raw total energy	-34.332	eV per cell
raw formation energy	-0.332	eV per atom
calculated volume	42.7	Å³ per cell
total moment	3.0	μB/cell

***

The following is a GGA-PBEsol calculation of crystalline Sc2AlPd at its relaxed geometry, from Alexandria.

Unit cell a=7.4934 b=7.4934 c=5.6094 alpha=90.00 beta=90.00 gamma=90.00
Space group I-42d (No. 122)
Inequivalent atoms, fractional coordinates:
Sc 0.2139 0.7500 0.1250 x8
Al 0.0000 0.0000 0.5000 x4
Pd 0.0000 0.0000 0.0000 x4

## Properties
raw total energy	-96.493	eV per cell
calculated volume	315.0	Å³ per cell
total moment	0.0	μB/cell
ΔE_f	-0.216	eV per atom

***

The following is a GGA-PBEsol calculation of crystalline NaCa2Hg2 at its relaxed geometry, from Alexandria.

Unit cell a=8.3659 b=8.3659 c=4.0130 alpha=90.00 beta=90.00 gamma=90.00
Space group P4/mbm (No. 127)
Inequivalent atoms, fractional coordinates:
Na 0.0000 0.0000 0.0000 x2
Ca 0.1597 0.3403 0.5000 x4
Hg 0.1353 0.6353 0.0000 x4

## Properties
raw total energy	-18.040	eV per cell
calculated volume	280.9	Å³ per cell
total moment	0.0	μB/cell
ΔE_f	-0.444	eV per atom